w.
The following is a PBE calculation of a relaxed InAg3H crystal, from Alexandria.

abc: 5.332 5.332 5.332
angles: 90.00 90.00 90.00
Positions (direct):
Ag 0.000 0.500 0.000
H 0.500 0.500 0.500
Ag 0.000 0.000 0.500
Ag 0.500 0.000 0.000
In 0.000 0.000 0.000

DOS at the Fermi energy = 0.42 states/eV/atom


x.
The following is a PBE calculation of a relaxed InAg3H crystal, from Alexandria.

abc: 4.296 4.296 4.296
angles: 90.00 90.00 90.00
Positions (direct):
In 0.500 0.500 0.500
Ag 0.500 0.000 0.000
Ag 0.000 0.500 0.000
Ag 0.000 0.000 0.500
H 0.000 0.000 0.000

DOS at the Fermi energy = 0.26 states/eV/atom


Referenced to the most stable arrangement, the calculated values in meV per atom are w 860; x 0.


w.
The following is a PBE calculation of a relaxed InAg2H2 crystal, from Alexandria.

abc: 7.472 7.472 2.838
angles: 90.00 90.00 90.00
Positions (direct):
In 0.500 0.500 0.000
Ag 0.866 0.366 0.500
Ag 0.366 0.134 0.500
In 0.000 0.000 0.000
H 0.242 0.742 0.000
H 0.258 0.242 0.000
H 0.742 0.758 0.000
Ag 0.634 0.866 0.500
Ag 0.134 0.634 0.500
H 0.758 0.258 0.000

DOS at the Fermi energy = 0.19 states/eV/atom


x.
The following is a PBE calculation of a relaxed InAg2H2 crystal, from Alexandria.

abc: 3.267 3.267 7.022
angles: 76.55 76.55 90.00
Positions (direct):
Ag 0.336 0.336 0.328
In 0.000 0.000 0.000
H 0.750 0.250 0.500
Ag 0.664 0.664 0.672
H 0.250 0.750 0.500

DOS at the Fermi energy = 0.22 states/eV/atom


Referenced to the most stable arrangement, the calculated values in meV per atom are w 51; x 0.


w.
The following is a PBE calculation of a relaxed InAg2H crystal, from Alexandria.

abc: 5.849 5.849 5.813
angles: 59.79 59.79 90.00
Positions (direct):
H 0.250 0.750 0.500
Ag 0.268 0.625 0.250
In 0.750 0.250 0.500
In 0.000 0.000 0.000
H 0.500 0.500 0.000
Ag 0.375 0.518 0.750
Ag 0.482 0.125 0.250
Ag 0.875 0.732 0.750

DOS at the Fermi energy = 0.11 states/eV/atom


x.
The following is a PBE calculation of a relaxed InAg2H crystal, from Alexandria.

abc: 4.615 4.615 4.615
angles: 60.00 60.00 60.00
Positions (direct):
H 0.000 0.000 0.000
In 0.500 0.500 0.500
Ag 0.750 0.750 0.750
Ag 0.250 0.250 0.250

DOS at the Fermi energy = 0.33 states/eV/atom


Referenced to the most stable arrangement, the calculated values in meV per atom are w 0; x 346.


w.
The following is a PBE calculation of a relaxed Li2InAgH crystal, from Alexandria.

abc: 4.059 4.059 4.534
angles: 90.00 90.00 90.00
Positions (direct):
Ag 0.500 0.500 0.500
Li 0.000 0.500 0.000
H 0.000 0.000 0.000
Li 0.500 0.000 0.000
In 0.000 0.000 0.500

DOS at the Fermi energy = 0.34 states/eV/atom


x.
The following is a PBE calculation of a relaxed Li2InAgH crystal, from Alexandria.

abc: 4.211 4.211 4.074
angles: 90.00 90.00 90.00
Positions (direct):
Li 0.000 0.500 0.000
In 0.500 0.500 0.500
Li 0.500 0.000 0.000
Ag 0.000 0.000 0.500
H 0.000 0.000 0.000

DOS at the Fermi energy = 0.19 states/eV/atom


Referenced to the most stable arrangement, the calculated values in meV per atom are w 40; x 0.


w.
The following is a PBE calculation of a relaxed InAgHPd2 crystal, from Alexandria.

abc: 4.123 4.123 4.165
angles: 90.00 90.00 90.00
Positions (direct):
In 0.500 0.500 0.500
Pd 0.500 0.000 0.000
Pd 0.000 0.500 0.000
H 0.000 0.000 0.000
Ag 0.000 0.000 0.500

DOS at the Fermi energy = 0.33 states/eV/atom


x.
The following is a PBE calculation of a relaxed InAgHPd2 crystal, from Alexandria.

abc: 4.066 4.324 4.066
angles: 90.00 90.00 90.00
Positions (direct):
H 0.000 0.000 0.000
Pd 0.000 0.000 0.500
Ag 0.500 0.500 0.500
Pd 0.500 0.000 0.000
In 0.000 0.500 0.000

DOS at the Fermi energy = 0.30 states/eV/atom


Referenced to the most stable arrangement, the calculated values in meV per atom are w 0; x 119.


w.
The following is a PBE calculation of a relaxed InAgHRh2 crystal, from Alexandria.

abc: 4.009 4.009 4.262
angles: 90.00 90.00 90.00
Positions (direct):
H 0.000 0.000 0.000
Ag 0.500 0.500 0.500
In 0.000 0.000 0.500
Rh 0.500 0.000 0.000
Rh 0.000 0.500 0.000

DOS at the Fermi energy = 0.79 states/eV/atom


x.
The following is a PBE calculation of a relaxed InAgHRh2 crystal, from Alexandria.

abc: 4.101 4.101 4.038
angles: 90.00 90.00 90.00
Positions (direct):
Rh 0.000 0.500 0.000
H 0.000 0.000 0.000
Ag 0.000 0.000 0.500
Rh 0.500 0.000 0.000
In 0.500 0.500 0.500

DOS at the Fermi energy = 0.82 states/eV/atom


Referenced to the most stable arrangement, the calculated values in meV per atom are w 146; x 0.


w.
The following is a PBE calculation of a relaxed InAg2HS crystal, from Alexandria.

abc: 5.268 3.702 5.268
angles: 90.00 90.00 90.00
Positions (direct):
S 0.500 0.500 0.500
H 0.000 0.500 0.000
Ag 0.000 0.000 0.500
In 0.000 0.000 0.000
Ag 0.500 0.000 0.000

DOS at the Fermi energy = 0.29 states/eV/atom


x.
The following is a PBE calculation of a relaxed InAg2HS crystal, from Alexandria.

abc: 4.767 7.755 4.767
angles: 90.00 90.00 90.00
Positions (direct):
Ag 0.500 0.000 0.000
In 0.000 0.500 0.000
Ag 0.000 0.000 0.500
S 0.000 0.000 0.000
H 0.500 0.500 0.500

DOS at the Fermi energy = 0.01 states/eV/atom


Referenced to the most stable arrangement, the calculated values in meV per atom are w 94; x 0.


w.
The following is a PBE calculation of a relaxed In2AgSnH crystal, from Alexandria.

abc: 5.675 5.675 3.495
angles: 90.00 90.00 90.00
Positions (direct):
Ag 0.000 0.000 0.000
H 0.000 0.000 0.500
In 0.000 0.500 0.000
In 0.500 0.000 0.000
Sn 0.500 0.500 0.500

DOS at the Fermi energy = 0.32 states/eV/atom


x.
The following is a PBE calculation of a relaxed In2AgSnH crystal, from Alexandria.

abc: 5.564 5.564 3.533
angles: 90.00 90.00 90.00
Positions (direct):
H 0.000 0.000 0.000
Sn 0.500 0.500 0.500
In 0.500 0.000 0.000
In 0.000 0.500 0.000
Ag 0.000 0.000 0.500

DOS at the Fermi energy = 0.35 states/eV/atom


Referenced to the most stable arrangement, the calculated values in meV per atom are w 7; x 0.


w.
The following is a PBE calculation of a relaxed Tl2InAgH crystal, from Alexandria.

abc: 5.942 5.942 3.434
angles: 90.00 90.00 90.00
Positions (direct):
H 0.000 0.000 0.500
Ag 0.000 0.000 0.000
In 0.500 0.500 0.500
Tl 0.500 0.000 0.000
Tl 0.000 0.500 0.000

DOS at the Fermi energy = 0.52 states/eV/atom


x.
The following is a PBE calculation of a relaxed Tl2InAgH crystal, from Alexandria.

abc: 4.929 4.637 4.929
angles: 90.00 90.00 90.00
Positions (direct):
In 0.000 0.500 0.000
Ag 0.500 0.500 0.500
H 0.000 0.000 0.000
Tl 0.000 0.000 0.500
Tl 0.500 0.000 0.000

DOS at the Fermi energy = 0.37 states/eV/atom


Referenced to the most stable arrangement, the calculated values in meV per atom are w 0; x 87.


w.
The following is a PBE calculation of a relaxed YInAg2H crystal, from Alexandria.

abc: 4.577 4.577 4.396
angles: 90.00 90.00 90.00
Positions (direct):
Ag 0.000 0.500 0.000
Y 0.000 0.000 0.500
Ag 0.500 0.000 0.000
In 0.500 0.500 0.500
H 0.000 0.000 0.000

DOS at the Fermi energy = 0.45 states/eV/atom


x.
The following is a PBE calculation of a relaxed YInAg2H crystal, from Alexandria.

abc: 5.422 3.663 5.422
angles: 90.00 90.00 90.00
Positions (direct):
H 0.000 0.500 0.000
Y 0.500 0.500 0.500
Ag 0.000 0.000 0.500
In 0.000 0.000 0.000
Ag 0.500 0.000 0.000

DOS at the Fermi energy = 0.64 states/eV/atom


Referenced to the most stable arrangement, the calculated values in meV per atom are w 0; x 375.


w.
The following is a PBE calculation of a relaxed AgHIr3 crystal, from Alexandria.

abc: 4.868 4.868 4.868
angles: 90.00 90.00 90.00
Positions (direct):
Ir 0.000 0.000 0.500
Ag 0.000 0.000 0.000
Ir 0.500 0.000 0.000
Ir 0.000 0.500 0.000
H 0.500 0.500 0.500

DOS at the Fermi energy = 2.24 states/eV/atom


x.
The following is a PBE calculation of a relaxed AgHIr3 crystal, from Alexandria.

abc: 3.991 3.991 3.991
angles: 90.00 90.00 90.00
Positions (direct):
Ag 0.500 0.500 0.500
Ir 0.500 0.000 0.000
Ir 0.000 0.500 0.000
Ir 0.000 0.000 0.500
H 0.000 0.000 0.000

DOS at the Fermi energy = 1.18 states/eV/atom


Referenced to the most stable arrangement, the calculated values in meV per atom are w 2612; x 0.


w.
The following is a PBE calculation of a relaxed Ag3HIr crystal, from Alexandria.

abc: 4.126 4.126 4.126
angles: 90.00 90.00 90.00
Positions (direct):
H 0.000 0.000 0.000
Ag 0.000 0.000 0.500
Ir 0.500 0.500 0.500
Ag 0.000 0.500 0.000
Ag 0.500 0.000 0.000

DOS at the Fermi energy = 0.98 states/eV/atom


x.
The following is a PBE calculation of a relaxed Ag3HIr crystal, from Alexandria.

abc: 5.154 5.154 5.154
angles: 90.00 90.00 90.00
Positions (direct):
Ag 0.500 0.000 0.000
Ir 0.000 0.000 0.000
H 0.500 0.500 0.500
Ag 0.000 0.500 0.000
Ag 0.000 0.000 0.500

DOS at the Fermi energy = 1.02 states/eV/atom


Referenced to the most stable arrangement, the calculated values in meV per atom are w 0; x 1009.


w.
The following is a PBE calculation of a relaxed AgHIr2 crystal, from Alexandria.

abc: 6.268 6.268 5.133
angles: 52.37 52.37 90.00
Positions (direct):
H 0.250 0.750 0.500
Ir 0.375 0.478 0.750
Ir 0.228 0.625 0.250
Ir 0.875 0.772 0.750
Ag 0.000 0.000 0.000
Ag 0.750 0.250 0.500
Ir 0.522 0.125 0.250
H 0.500 0.500 0.000

DOS at the Fermi energy = 0.97 states/eV/atom


x.
The following is a PBE calculation of a relaxed AgHIr2 crystal, from Alexandria.

abc: 4.248 4.248 4.248
angles: 60.00 60.00 60.00
Positions (direct):
Ir 0.250 0.250 0.250
Ir 0.750 0.750 0.750
H 0.000 0.000 0.000
Ag 0.500 0.500 0.500

DOS at the Fermi energy = 0.99 states/eV/atom


Referenced to the most stable arrangement, the calculated values in meV per atom are w 0; x 600.


w.
The following is a PBE calculation of a relaxed AgH2Ir2 crystal, from Alexandria.

abc: 3.568 3.568 4.875
angles: 68.54 68.54 90.00
Positions (direct):
H 0.750 0.250 0.500
Ir 0.663 0.663 0.675
Ag 0.000 0.000 0.000
H 0.250 0.750 0.500
Ir 0.337 0.337 0.325

DOS at the Fermi energy = 0.78 states/eV/atom


x.
The following is a PBE calculation of a relaxed AgH2Ir2 crystal, from Alexandria.

abc: 6.383 6.383 2.731
angles: 90.00 90.00 90.00
Positions (direct):
Ir 0.860 0.360 0.500
H 0.596 0.096 0.000
Ag 0.500 0.500 0.000
H 0.096 0.404 0.000
H 0.904 0.596 0.000
Ir 0.360 0.140 0.500
Ir 0.640 0.860 0.500
Ir 0.140 0.640 0.500
H 0.404 0.904 0.000
Ag 0.000 0.000 0.000

DOS at the Fermi energy = 0.93 states/eV/atom


Referenced to the most stable arrangement, the calculated values in meV per atom are w 0; x 265.